Here is a relaxed structure of ScCd2W from Alexandria via LeMat-Bulk. Energies are from GGA-PBE.

Summary:
The calculated density is 8.768 Mg/m³. As for the crystal system: tetragonal. For the energy of formation from the pure elements, the calculation gives 761 meV per atom. The energy above the most stable polymorph in this dataset comes out at 57.3 kJ per mole of atoms.

```
data_ScCd2W
_cell_length_a 4.0455
_cell_length_b 4.0455
_cell_length_c 20.9982
_cell_angle_alpha 90.00
_cell_angle_beta 90.00
_cell_angle_gamma 90.00
_symmetry_space_group_name_H-M 'I -4 2 d'
_symmetry_Int_Tables_number 122
_symmetry_space_group_name_Hall 'I -4 2bw'
loop_
_atom_site_label
_atom_site_type_symbol
_atom_site_fract_x
_atom_site_fract_y
_atom_site_fract_z
Sc1 Sc 0.0000 0.0000 0.0000
Cd1 Cd 0.2367 0.2500 0.6250
W1 W 0.0000 0.0000 0.5000
```

Here is a relaxed structure of ScCd3W from Alexandria via LeMat-Bulk. Energies are from GGA-PBE.

Summary:
The calculated density is 6.743 Mg/m³. As for the crystal system: cubic. For the energy of formation from the pure elements, the calculation gives 1107 meV per atom. The energy above the most stable polymorph in this dataset comes out at 0.0 kJ per mole of atoms.

```
data_ScCd3W
_cell_length_a 5.1848
_cell_length_b 5.1848
_cell_length_c 5.1848
_cell_angle_alpha 90.00
_cell_angle_beta 90.00
_cell_angle_gamma 90.00
_symmetry_space_group_name_H-M 'P m -3 m'
_symmetry_Int_Tables_number 221
_symmetry_space_group_name_Hall '-P 4 2 3'
loop_
_atom_site_label
_atom_site_type_symbol
_atom_site_fract_x
_atom_site_fract_y
_atom_site_fract_z
Sc1 Sc 0.0000 0.0000 0.0000
Cd1 Cd 0.0000 0.5000 0.5000
W1 W 0.5000 0.5000 0.5000
```

Here is a relaxed structure of ScCdW2 from Alexandria via LeMat-Bulk. Energies are from GGA-PBE.

Summary:
The calculated density is 11.879 Mg/m³. As for the crystal system: orthorhombic. For the energy of formation from the pure elements, the calculation gives 402 meV per atom.

```
data_ScCdW2
_cell_length_a 2.8124
_cell_length_b 4.1999
_cell_length_c 6.2134
_cell_angle_alpha 90.00
_cell_angle_beta 90.00
_cell_angle_gamma 90.00
_symmetry_space_group_name_H-M 'P m m 2'
_symmetry_Int_Tables_number 25
_symmetry_space_group_name_Hall 'P 2 -2'
loop_
_atom_site_label
_atom_site_type_symbol
_atom_site_fract_x
_atom_site_fract_y
_atom_site_fract_z
Sc1 Sc 0.0000 0.0000 0.0000
Cd1 Cd 0.5000 0.5000 0.7440
W1 W 0.0000 0.0000 0.4753
W2 W 0.5000 0.5000 0.2657
```

Here is a relaxed structure of ScCd2W from Alexandria via LeMat-Bulk. Energies are from GGA-PBE.

Summary:
The calculated density is 9.608 Mg/m³. As for the crystal system: monoclinic. For the energy of formation from the pure elements, the calculation gives 319 meV per atom. The energy above the most stable polymorph in this dataset comes out at 14.6 kJ per mole of atoms.

```
data_ScCd2W
_cell_length_a 10.4153
_cell_length_b 2.9252
_cell_length_c 5.2085
_cell_angle_alpha 90.00
_cell_angle_beta 98.85
_cell_angle_gamma 90.00
_symmetry_space_group_name_H-M 'C 1 2/m 1'
_symmetry_Int_Tables_number 12
_symmetry_space_group_name_Hall '-C 2y'
loop_
_atom_site_label
_atom_site_type_symbol
_atom_site_fract_x
_atom_site_fract_y
_atom_site_fract_z
Sc1 Sc 0.0000 0.0000 0.0000
Cd1 Cd 0.2443 0.0000 0.7405
W1 W 0.0000 0.5000 0.5000
```

Here is a relaxed structure of ScCdW2 from Alexandria via LeMat-Bulk. Energies are from GGA-PBE.

Summary:
The calculated density is 11.843 Mg/m³. As for the crystal system: monoclinic. For the energy of formation from the pure elements, the calculation gives 272 meV per atom.

```
data_ScCdW2
_cell_length_a 2.8561
_cell_length_b 4.4129
_cell_length_c 5.9557
_cell_angle_alpha 90.00
_cell_angle_beta 101.27
_cell_angle_gamma 90.00
_symmetry_space_group_name_H-M 'P 1 m 1'
_symmetry_Int_Tables_number 6
_symmetry_space_group_name_Hall 'P -2y'
loop_
_atom_site_label
_atom_site_type_symbol
_atom_site_fract_x
_atom_site_fract_y
_atom_site_fract_z
Sc1 Sc 0.0000 0.0000 0.0000
Cd1 Cd 0.4131 0.5000 0.7333
W1 W 0.4808 0.5000 0.2528
W2 W 0.8302 0.0000 0.4570
```

Here is a relaxed structure of ScCdW2 from Alexandria via LeMat-Bulk. Energies are from GGA-PBE.

Summary:
The calculated density is 11.803 Mg/m³. As for the crystal system: orthorhombic. For the energy of formation from the pure elements, the calculation gives 455 meV per atom.

```
data_ScCdW2
_cell_length_a 2.7741
_cell_length_b 4.7264
_cell_length_c 5.6338
_cell_angle_alpha 90.00
_cell_angle_beta 90.00
_cell_angle_gamma 90.00
_symmetry_space_group_name_H-M 'P m m m'
_symmetry_Int_Tables_number 47
_symmetry_space_group_name_Hall '-P 2 2'
loop_
_atom_site_label
_atom_site_type_symbol
_atom_site_fract_x
_atom_site_fract_y
_atom_site_fract_z
Sc1 Sc 0.0000 0.0000 0.0000
Cd1 Cd 0.0000 0.0000 0.5000
W1 W 0.5000 0.5000 0.2296
```